No. 1
First-principles (PBE) data for an optimized crystal structure of Er4Ni13C4, as listed in Alexandria. Values from VASP.

density of states at the Fermi level = 0.514 states/eV/atom
energy relative to the elements = -0.36 eV per atom
symmetry = Cmmm

Structure (Quantum ESPRESSO input):
```
&SYSTEM
  ibrav = 0, nat = 21, ntyp = 3
/
ATOMIC_SPECIES
Ni 58.69 Ni.upf
Er 167.26 Er.upf
C 12.01 C.upf
CELL_PARAMETERS angstrom
3.8367 0.0000 0.0000
0.0000 8.3589 -0.0039
0.0000 -0.1883 8.3568
ATOMIC_POSITIONS crystal
Ni 0.5000 0.0000 0.5000
Er 0.5000 0.1874 0.8126
C 0.0000 0.0000 0.5000
Ni 0.0000 0.4304 0.7843
Er 0.5000 0.8126 0.1874
Ni 0.0000 0.0746 0.2911
Ni 0.0000 0.5696 0.2157
Ni 0.5000 0.1230 0.1230
Ni 0.0000 0.7089 0.9254
Ni 0.0000 0.9254 0.7089
Er 0.5000 0.6518 0.6518
Ni 0.0000 0.2157 0.5696
Ni 0.0000 0.7843 0.4304
C 0.0000 0.4430 0.5570
C 0.0000 0.5570 0.4430
Ni 0.5000 0.8770 0.8770
Ni 0.0000 0.0000 0.0000
Ni 0.5000 0.5000 0.0000
Ni 0.0000 0.2911 0.0746
Er 0.5000 0.3482 0.3482
C 0.0000 0.5000 0.0000
```

---

No. 2
First-principles (PBE) data for an optimized crystal structure of MgCr2Te, as listed in Alexandria. Values from VASP.

relative energy among the computed polymorphs = 249.1 meV/atom
density of states at the Fermi level = 0.752 states/eV/atom
symmetry = Fm-3m
E_form (uncorrected) = 518 meV/atom

Structure (Quantum ESPRESSO input):
```
&SYSTEM
  ibrav = 0, nat = 4, ntyp = 3
/
ATOMIC_SPECIES
Cr 52.00 Cr.upf
Mg 24.30 Mg.upf
Te 127.60 Te.upf
CELL_PARAMETERS angstrom
-1.2869 -1.3710 4.0989
-3.7662 1.6515 1.8507
-3.6301 -2.6360 0.4594
ATOMIC_POSITIONS crystal
Cr 0.2500 0.2500 0.2500
Mg 0.0000 0.0000 0.0000
Te 0.5000 0.5000 0.5000
Cr 0.7500 0.7500 0.7500
```

---

No. 3
First-principles (PBE) data for an optimized crystal structure of PuSbHPd, as listed in Alexandria. Values from VASP.

density of states at the Fermi level = 3.099 states/eV/atom
symmetry = P-6m2
total DFT energy (no corrections) = -0.5369 Ry/atom

Structure (Quantum ESPRESSO input):
```
&SYSTEM
  ibrav = 0, nat = 4, ntyp = 4
/
ATOMIC_SPECIES
Pu 244.00 Pu.upf
Sb 121.76 Sb.upf
H 1.01 H.upf
Pd 106.42 Pd.upf
CELL_PARAMETERS angstrom
-3.0181 0.8645 3.4081
3.4490 -3.0211 0.6706
2.2330 2.8289 1.2599
ATOMIC_POSITIONS crystal
Pu 0.5719 0.1439 0.3098
Sb 0.9053 0.8105 0.8098
H 0.2386 0.4771 0.3097
Pd 0.2386 0.4772 0.8098
```

---

No. 4
First-principles (PBE) data for an optimized crystal structure of Y3AlIr3, as listed in Alexandria. Values from VASP.

density of states at the Fermi level = 0.572 states/eV/atom
energy relative to the elements = -0.88 eV per atom
symmetry = Cmcm

Structure (Quantum ESPRESSO input):
```
&SYSTEM
  ibrav = 0, nat = 14, ntyp = 3
/
ATOMIC_SPECIES
Y 88.91 Y.upf
Ir 192.22 Ir.upf
Al 26.98 Al.upf
CELL_PARAMETERS angstrom
4.1156 0.0000 0.0000
-2.0578 5.1600 0.0000
0.0000 0.0000 13.8061
ATOMIC_POSITIONS crystal
Y 0.7950 0.5900 0.3940
Y 0.2050 0.4100 0.8940
Ir 0.2286 0.4571 0.2500
Ir 0.9159 0.8317 0.5880
Al 0.5000 0.0000 0.5000
Y 0.7950 0.5900 0.1060
Al 0.5000 0.0000 0.0000
Ir 0.0841 0.1683 0.4120
Y 0.2050 0.4100 0.6060
Y 0.4870 0.9740 0.7500
Ir 0.7714 0.5429 0.7500
Y 0.5130 0.0260 0.2500
Ir 0.9159 0.8317 0.9120
Ir 0.0841 0.1683 0.0880
```